1.
NaInSn2 | PBE | optimized geometry

The structure in CIF format:
```
data_NaInSn2
_chemical_formula_sum 'Na4 In4 Sn8'
_cell_length_a 8.7083
_cell_length_b 8.7083
_cell_length_c 6.2121
_cell_angle_alpha 90.00
_cell_angle_beta 90.00
_cell_angle_gamma 90.00
_space_group_name_H-M_alt 'I -4 2 d'
_space_group_IT_number 122
_space_group_name_Hall 'I -4 2bw'
loop_
_atom_site_label
_atom_site_fract_x
_atom_site_fract_y
_atom_site_fract_z
Na1 0.0000 0.0000 0.0000
In1 0.0000 0.0000 0.5000
Sn1 0.2098 0.2500 0.6250
```

Values from the calculation:
Calculated total energy, eV/cell: -47.84
Mass density, g/cm3: 5.290

2.
TmNp2PaS4 | PBE | optimized geometry

The structure in CIF format:
```
data_TmNp2PaS4
_chemical_formula_sum 'Tm1 Np2 Pa1 S4'
_cell_length_a 6.6461
_cell_length_b 3.8786
_cell_length_c 6.8177
_cell_angle_alpha 90.00
_cell_angle_beta 109.52
_cell_angle_gamma 90.00
_space_group_name_H-M_alt 'P 1 2/m 1'
_space_group_IT_number 10
_space_group_name_Hall '-P 2y'
loop_
_atom_site_label
_atom_site_fract_x
_atom_site_fract_y
_atom_site_fract_z
Tm1 0.0000 0.0000 0.0000
Np1 0.5000 0.0000 0.5000
Np2 0.5000 0.5000 0.0000
Pa1 0.0000 0.5000 0.5000
S1 0.2449 0.5000 0.2449
S2 0.2496 0.0000 0.7562
```

Values from the calculation:
Mass density, g/cm3: 10.047
E_form (uncorrected), eV/atom: -1.577

3.
TbPr12Sm5 | PBE | optimized geometry

The structure in CIF format:
```
data_TbPr12Sm5
_chemical_formula_sum 'Tb2 Pr24 Sm10'
_cell_length_a 15.6187
_cell_length_b 15.6221
_cell_length_c 5.2132
_cell_angle_alpha 90.00
_cell_angle_beta 90.00
_cell_angle_gamma 90.00
_space_group_name_H-M_alt 'C m m m'
_space_group_IT_number 65
_space_group_name_Hall '-C 2 2'
loop_
_atom_site_label
_atom_site_fract_x
_atom_site_fract_y
_atom_site_fract_z
Tb1 0.0000 0.0000 0.0000
Pr1 0.1648 0.0000 0.5000
Pr2 0.1652 0.1665 0.0000
Pr3 0.1657 0.3333 0.5000
Pr4 0.1659 0.5000 0.0000
Sm1 0.0000 0.1663 0.5000
Sm2 0.0000 0.3334 0.0000
Sm3 0.0000 0.5000 0.5000
```

Values from the calculation:
Calculated total energy, eV/cell: -170.63
Mass density, g/cm3: 6.793

4.
SrMoPt2 | PBE | optimized geometry

The structure in CIF format:
```
data_SrMoPt2
_chemical_formula_sum 'Sr2 Mo2 Pt4'
_cell_length_a 4.1408
_cell_length_b 4.1408
_cell_length_c 8.9780
_cell_angle_alpha 90.00
_cell_angle_beta 90.00
_cell_angle_gamma 90.00
_space_group_name_H-M_alt 'I -4 m 2'
_space_group_IT_number 119
_space_group_name_Hall 'I -4 -2'
loop_
_atom_site_label
_atom_site_fract_x
_atom_site_fract_y
_atom_site_fract_z
Sr1 0.0000 0.0000 0.0000
Mo1 0.0000 0.5000 0.7500
Pt1 0.0000 0.0000 0.5000
Pt2 0.0000 0.5000 0.2500
```

Values from the calculation:
E above lowest polymorph, meV/atom: 507
Mass density, g/cm3: 12.378

5.
Y2PbBr | PBE | optimized geometry

The structure in CIF format:
```
data_Y2PbBr
_chemical_formula_sum 'Y2 Pb1 Br1'
_cell_length_a 3.5972
_cell_length_b 4.1727
_cell_length_c 7.7077
_cell_angle_alpha 90.00
_cell_angle_beta 90.14
_cell_angle_gamma 90.00
_space_group_name_H-M_alt 'P 1 2/m 1'
_space_group_IT_number 10
_space_group_name_Hall '-P 2y'
loop_
_atom_site_label
_atom_site_fract_x
_atom_site_fract_y
_atom_site_fract_z
Y1 0.0015 0.0000 0.2348
Pb1 0.5000 0.5000 0.0000
Br1 0.0000 0.5000 0.5000
```

Values from the calculation:
E above lowest polymorph, meV/atom: 56
Mass density, g/cm3: 6.673
E_form (uncorrected), eV/atom: -0.713

6.
Ag4PtAu | PBE | optimized geometry

The structure in CIF format:
```
data_Ag4PtAu
_chemical_formula_sum 'Ag8 Pt2 Au2'
_cell_length_a 9.1042
_cell_length_b 4.2019
_cell_length_c 5.7552
_cell_angle_alpha 90.00
_cell_angle_beta 108.17
_cell_angle_gamma 90.00
_space_group_name_H-M_alt 'C 1 2/m 1'
_space_group_IT_number 12
_space_group_name_Hall '-C 2y'
loop_
_atom_site_label
_atom_site_fract_x
_atom_site_fract_y
_atom_site_fract_z
Ag1 0.1643 0.0000 0.3293
Ag2 0.1676 0.0000 0.8358
Pt1 0.0000 0.5000 0.0000
Au1 0.0000 0.5000 0.5000
```

Values from the calculation:
E above lowest polymorph, meV/atom: 0
Mass density, g/cm3: 13.074

7.
Pr8SmHg2 | PBE | optimized geometry

The structure in CIF format:
```
data_Pr8SmHg2
_chemical_formula_sum 'Pr16 Sm2 Hg4'
_cell_length_a 9.0565
_cell_length_b 15.3688
_cell_length_c 5.8401
_cell_angle_alpha 90.00
_cell_angle_beta 111.10
_cell_angle_gamma 90.00
_space_group_name_H-M_alt 'C 1 2/m 1'
_space_group_IT_number 12
_space_group_name_Hall '-C 2y'
loop_
_atom_site_label
_atom_site_fract_x
_atom_site_fract_y
_atom_site_fract_z
Pr1 0.0000 0.2261 0.0000
Pr2 0.0998 0.5000 0.8008
Pr3 0.2027 0.1129 0.6024
Sm1 0.0000 0.0000 0.0000
Hg1 0.0000 0.3062 0.5000
```

Values from the calculation:
Calculated total energy, eV/cell: -88.62
Mass density, g/cm3: 7.352

8.
CrAuBr2 | PBE | optimized geometry

The structure in CIF format:
```
data_CrAuBr2
_chemical_formula_sum 'Cr1 Au1 Br2'
_cell_length_a 5.4066
_cell_length_b 3.4286
_cell_length_c 7.2433
_cell_angle_alpha 90.00
_cell_angle_beta 111.76
_cell_angle_gamma 90.00
_space_group_name_H-M_alt 'P 1 2/m 1'
_space_group_IT_number 10
_space_group_name_Hall '-P 2y'
loop_
_atom_site_label
_atom_site_fract_x
_atom_site_fract_y
_atom_site_fract_z
Cr1 0.0000 0.0000 0.0000
Au1 0.5000 0.0000 0.0000
Br1 0.1319 0.5000 0.2655
```

Values from the calculation:
E above lowest polymorph, meV/atom: 56
Mass density, g/cm3: 5.443
E_form (uncorrected), eV/atom: -0.164

| no. | magnetic moment (μB per cell) |
| --- | --- |
| 1 | 0.0 |
| 2 | 0.4 |
| 3 | 0.0 |
| 4 | 3.5 |
| 5 | 0.6 |
| 6 | 0.0 |
| 7 | 0.0 |
| 8 | 3.3 |